The following is a DFT calculation (PBE-GGA) of an optimized crystal structure of Ba2CaH8. Values from VASP.

Output
**Total energy**: -36.13 eV/cell
**Crystal system**: orthorhombic
**DOS at the Fermi energy**: 0.000 states/eV/f.u.

Geometry as Quantum ESPRESSO input:
```
&SYSTEM
  ibrav = 0, nat = 11, ntyp = 3
/
ATOMIC_SPECIES
H 1.01 H.upf
Ba 137.33 Ba.upf
Ca 40.08 Ca.upf
ATOMIC_POSITIONS angstrom
H 2.262 4.401 1.467
H 0.000 -1.255 4.720
Ba 2.262 0.125 3.831
H 0.000 0.075 2.237
H 0.000 1.557 4.633
H 2.262 1.588 1.554
Ca 2.262 0.000 0.000
H 2.262 3.132 5.783
Ba 0.000 3.021 2.356
H 2.262 3.070 3.950
H 0.000 0.014 0.404
CELL_PARAMETERS angstrom
4.524 0.000 0.000
0.000 5.882 -0.189
-2.262 -2.736 6.376
```

The following is a DFT calculation (PBE-GGA) of an optimized crystal structure of Mn2NbV4. Values from VASP.

Output
**Energy of formation**: 1.1933 eV per atom
**Total energy**: -56.53 eV/cell
**Crystal system**: tetragonal
**DOS at the Fermi energy**: 9.359 states/eV/f.u.

Geometry as Quantum ESPRESSO input:
```
&SYSTEM
  ibrav = 0, nat = 7, ntyp = 3
/
ATOMIC_SPECIES
Nb 92.91 Nb.upf
Mn 54.94 Mn.upf
V 50.94 V.upf
ATOMIC_POSITIONS angstrom
Nb 0.000 0.000 0.000
Mn -1.964 0.151 -2.898
V -3.977 -0.718 -2.647
V -3.659 0.418 -5.829
V 0.220 -1.082 -1.984
V -0.904 1.785 -1.073
Mn -5.672 -0.451 -5.578
CELL_PARAMETERS angstrom
-1.808 3.569 -2.146
0.439 -2.164 -3.968
-6.267 -1.706 -2.361
```

The following is a DFT calculation (PBE-GGA) of an optimized crystal structure of LaICl2. Values from VASP.

Output
**Total energy**: -37.04 eV/cell
**Crystal system**: orthorhombic
**DOS at the Fermi energy**: 0.000 states/eV/f.u.

Geometry as Quantum ESPRESSO input:
```
&SYSTEM
  ibrav = 0, nat = 8, ntyp = 3
/
ATOMIC_SPECIES
Cl 35.45 Cl.upf
La 138.91 La.upf
I 126.90 I.upf
ATOMIC_POSITIONS angstrom
Cl 2.133 2.477 3.816
La 2.133 3.467 6.678
Cl 0.000 4.738 5.087
Cl 0.000 4.738 8.268
La 0.000 3.748 2.226
Cl 2.133 2.477 0.635
I 0.000 1.084 6.678
I 2.133 6.131 2.226
CELL_PARAMETERS angstrom
4.266 0.000 0.000
-2.133 7.215 0.000
0.000 0.000 8.904
```

The following is a DFT calculation (PBE-GGA) of an optimized crystal structure of CsYSeCl2O3. Values from VASP.

Output
**Total energy**: -182.11 eV/cell
**Crystal system**: monoclinic
**DOS at the Fermi energy**: 0.000 states/eV/f.u.

Geometry as Quantum ESPRESSO input:
```
&SYSTEM
  ibrav = 0, nat = 32, ntyp = 5
/
ATOMIC_SPECIES
O 16.00 O.upf
Cl 35.45 Cl.upf
Y 88.91 Y.upf
Se 78.96 Se.upf
Cs 132.91 Cs.upf
ATOMIC_POSITIONS angstrom
O 13.980 -8.448 2.758
Cl 8.471 -7.109 3.348
Y 3.714 -2.958 1.104
Y 9.780 -8.622 5.103
O 3.719 -6.425 -2.207
Y 14.033 -9.986 1.023
O 6.084 -5.155 -1.888
O 7.830 -2.674 -1.353
O 12.147 -10.862 2.072
O 5.600 -2.082 0.055
O 14.028 -6.519 4.335
Se 10.514 -10.444 1.847
Cl 9.276 -5.835 -1.220
Cs 12.731 -12.812 4.592
Se 7.233 -2.499 0.280
Cl 11.528 -10.009 6.565
Se 13.303 -8.109 4.330
Cl 15.325 -11.725 2.570
O 7.670 -6.153 -4.368
Cl 12.292 -8.496 -0.342
Se 4.444 -4.835 -2.203
Cs 11.112 -5.377 1.924
O 9.917 -10.270 3.481
Cs 5.016 -0.132 -2.464
O 10.077 -6.791 6.495
Cl 5.455 -4.447 2.470
Cl 6.219 -2.935 -4.437
O 3.767 -4.496 -0.630
Cl 2.422 -1.218 -0.442
Y 7.967 -4.321 -2.976
Cs 6.635 -7.566 0.204
O 11.663 -7.788 4.015
CELL_PARAMETERS angstrom
-0.376 -5.188 -4.814
5.874 1.951 -2.562
12.249 -9.707 9.504
```

The following is a DFT calculation (PBE-GGA) of an optimized crystal structure of Mg4CuAgPd2. Values from VASP.

Output
**Energy of formation**: -0.4483 eV per atom
**Total energy**: -27.30 eV/cell
**Crystal system**: trigonal
**DOS at the Fermi energy**: 3.192 states/eV/f.u.

Geometry as Quantum ESPRESSO input:
```
&SYSTEM
  ibrav = 0, nat = 8, ntyp = 4
/
ATOMIC_SPECIES
Ag 107.87 Ag.upf
Cu 63.55 Cu.upf
Mg 24.30 Mg.upf
Pd 106.42 Pd.upf
ATOMIC_POSITIONS angstrom
Ag 0.000 0.000 0.000
Cu 4.557 2.631 3.709
Mg 6.836 3.947 2.834
Mg 4.557 2.631 0.994
Pd 6.836 3.947 5.571
Mg 4.557 2.631 6.425
Pd 2.279 1.316 1.848
Mg 2.279 1.316 4.585
CELL_PARAMETERS angstrom
4.557 0.000 0.000
2.279 3.947 0.000
2.279 1.316 7.419
```

The following is a DFT calculation (PBE-GGA) of an optimized crystal structure of Sm2AlRu. Values from VASP.

Output
**Energy of formation**: -0.2893 eV per atom
**Total energy**: -23.61 eV/cell
**Crystal system**: tetragonal
**DOS at the Fermi energy**: 2.385 states/eV/f.u.

Geometry as Quantum ESPRESSO input:
```
&SYSTEM
  ibrav = 0, nat = 4, ntyp = 3
/
ATOMIC_SPECIES
Sm 150.36 Sm.upf
Ru 101.07 Ru.upf
Al 26.98 Al.upf
ATOMIC_POSITIONS angstrom
Sm 1.943 0.055 5.236
Sm 0.583 0.016 1.572
Ru -2.126 1.108 0.778
Al -0.863 1.143 4.182
CELL_PARAMETERS angstrom
-1.095 3.371 0.371
-3.157 -1.156 1.184
2.527 0.071 6.808
```

The following is a DFT calculation (PBE-GGA) of an optimized crystal structure of SmZrSc2. Values from VASP.

Output
**Energy of formation**: 0.0635 eV per atom
**Total energy**: -25.68 eV/cell
**Crystal system**: trigonal
**DOS at the Fermi energy**: 6.824 states/eV/f.u.

Geometry as Quantum ESPRESSO input:
```
&SYSTEM
  ibrav = 0, nat = 4, ntyp = 3
/
ATOMIC_SPECIES
Sc 44.96 Sc.upf
Sm 150.36 Sm.upf
Zr 91.22 Zr.upf
ATOMIC_POSITIONS angstrom
Sc 1.672 0.965 2.504
Sc 1.672 0.965 8.263
Sm 3.343 1.930 5.351
Zr 3.343 1.930 0.014
CELL_PARAMETERS angstrom
3.343 0.000 0.000
1.672 2.895 0.000
1.672 0.965 10.755
```

The following is a DFT calculation (PBE-GGA) of an optimized crystal structure of BeAl2CdNi. Values from VASP.

Output
**Energy of formation**: 0.4581 eV per atom
**Total energy**: -15.62 eV/cell
**Crystal system**: tetragonal
**DOS at the Fermi energy**: 1.993 states/eV/f.u.

Geometry as Quantum ESPRESSO input:
```
&SYSTEM
  ibrav = 0, nat = 5, ntyp = 4
/
ATOMIC_SPECIES
Al 26.98 Al.upf
Ni 58.69 Ni.upf
Cd 112.41 Cd.upf
Be 9.01 Be.upf
ATOMIC_POSITIONS angstrom
Al 2.218 0.000 0.000
Ni 0.000 0.000 0.000
Al 0.000 0.000 2.218
Cd 0.000 2.482 0.000
Be 2.218 2.482 2.218
CELL_PARAMETERS angstrom
4.437 0.000 0.000
0.000 4.964 0.000
0.000 0.000 4.437
```

The following is a DFT calculation (PBE-GGA) of an optimized crystal structure of CaAg2Ir. Values from VASP.

Output
**Energy of formation**: 0.1141 eV per atom
**Total energy**: -16.11 eV/cell
**Crystal system**: monoclinic
**DOS at the Fermi energy**: 2.877 states/eV/f.u.

Geometry as Quantum ESPRESSO input:
```
&SYSTEM
  ibrav = 0, nat = 4, ntyp = 3
/
ATOMIC_SPECIES
Ag 107.87 Ag.upf
Ir 192.22 Ir.upf
Ca 40.08 Ca.upf
ATOMIC_POSITIONS angstrom
Ag 3.328 -0.339 0.287
Ir 4.498 -2.962 0.199
Ag 6.112 -0.659 0.786
Ca 1.351 -2.629 -0.159
CELL_PARAMETERS angstrom
-0.444 -4.926 -0.676
1.969 0.121 -2.173
4.325 -0.786 2.889
```

The following is a DFT calculation (PBE-GGA) of an optimized crystal structure of B2H2Os. Values from VASP.

Output
**Total energy**: -56.27 eV/cell
**Crystal system**: tetragonal
**DOS at the Fermi energy**: 0.835 states/eV/f.u.

Geometry as Quantum ESPRESSO input:
```
&SYSTEM
  ibrav = 0, nat = 10, ntyp = 3
/
ATOMIC_SPECIES
B 10.81 B.upf
H 1.01 H.upf
Os 190.23 Os.upf
ATOMIC_POSITIONS angstrom
B 1.686 -2.475 -1.777
H -0.019 -5.314 -0.871
H -0.419 -3.999 1.286
Os -0.045 -3.561 -0.428
H 0.330 -3.122 -2.143
B 0.919 -4.748 1.483
H -0.071 -1.807 0.014
Os 0.000 0.000 0.000
B 1.131 -1.939 0.979
B 1.475 -5.285 -1.273
CELL_PARAMETERS angstrom
-0.788 -3.971 3.056
0.698 -3.151 -3.913
2.695 -0.102 0.563
```

The following is a DFT calculation (PBE-GGA) of an optimized crystal structure of Mo4IrSe. Values from VASP.

Output
**Total energy**: -51.97 eV/cell
**Crystal system**: cubic
**DOS at the Fermi energy**: 6.987 states/eV/f.u.

Geometry as Quantum ESPRESSO input:
```
&SYSTEM
  ibrav = 0, nat = 6, ntyp = 3
/
ATOMIC_SPECIES
Ir 192.22 Ir.upf
Mo 95.94 Mo.upf
Se 78.96 Se.upf
ATOMIC_POSITIONS angstrom
Ir 0.000 0.000 0.000
Mo 4.609 4.609 2.769
Mo 2.769 2.769 2.769
Mo 4.609 2.769 4.609
Se 5.533 5.533 5.533
Mo 2.769 4.609 4.609
CELL_PARAMETERS angstrom
0.000 3.689 3.689
3.689 0.000 3.689
3.689 3.689 0.000
```

Which of these has the highest DOS at the Fermi energy?
Mn2NbV4

Which of these has the lowest total energy?
CsYSeCl2O3

What is the formula in the fourth record?
CsYSeCl2O3